A geometry-optimized Tb3TmZn structure. Source: Alexandria via LeMat-Bulk, functional PBE-GGA.

Density of states at the Fermi level   10.0 states/eV per cell
Energy above the lowest structure with this stoichiometry   0.1036 eV per atom
Space group   C2/m
Mass density   8.10 g/cm3
VASP energy   -3.948 eV/atom

Cell: 6.632 6.632 7.715 Å, 107.29 107.29 66.80°
Atoms (fractional coordinates):
Tb1 0.058 0.058 0.234
Tb2 0.089 0.587 0.350
Tb3 0.413 0.911 0.650
Tb4 0.587 0.089 0.350
Tb5 0.911 0.413 0.650
Tb6 0.942 0.942 0.766
Tm1 0.440 0.440 0.764
Tm2 0.560 0.560 0.236
Zn1 0.255 0.255 0.999
Zn2 0.745 0.745 0.001

A geometry-optimized Sc4Co3Ir structure. Source: Alexandria via LeMat-Bulk, functional PBE-GGA.

Density of states at the Fermi level   4.0 states/eV per cell
Space group   Pmmm
Mass density   7.26 g/cm3
VASP energy   -7.465 eV/atom

Cell: 3.152 4.473 8.901 Å, 90.00 90.00 90.00°
Atoms (fractional coordinates):
Sc1 0.000 0.000 0.000
Sc2 0.000 0.000 0.500
Sc3 0.000 0.500 0.243
Sc4 0.000 0.500 0.757
Co1 0.500 0.000 0.248
Co2 0.500 0.000 0.752
Co3 0.500 0.500 0.000
Ir1 0.500 0.500 0.500

A geometry-optimized NaCa2Ga structure. Source: Alexandria via LeMat-Bulk, functional PBE-GGA.

Density of states at the Fermi level   7.9 states/eV per cell
Space group   I-42d
Mass density   2.10 g/cm3
VASP energy   -2.049 eV/atom

Cell: 8.824 8.824 7.022 Å, 90.00 90.00 90.00°
Atoms (fractional coordinates):
Na1 0.000 0.000 0.000
Na2 0.000 0.500 0.250
Na3 0.500 0.000 0.750
Na4 0.500 0.500 0.500
Ca1 0.202 0.750 0.625
Ca2 0.250 0.202 0.375
Ca3 0.250 0.298 0.875
Ca4 0.298 0.750 0.125
Ca5 0.702 0.250 0.125
Ca6 0.750 0.702 0.875
Ca7 0.750 0.798 0.375
Ca8 0.798 0.250 0.625
Ga1 0.000 0.000 0.500
Ga2 0.000 0.500 0.750
Ga3 0.500 0.000 0.250
Ga4 0.500 0.500 0.000

- Among the records above, which one has the highest density of states at the Fermi level?
  Tb3TmZn

- The lowest VASP energy belongs to which entry?
  Sc4Co3Ir

- Which of these has the lowest mass density?
  NaCa2Ga

- Which value of mass density does entry 2 give?
  7.26 g/cm3